No. 1
# Sm12NiSn6

A geometry-optimized Sm12NiSn6 structure (PBE, the Alexandria database).

ΔH_f (0 K) = -0.381 eV per atom
D(E_F) = 63.85 states/eV per cell
DFT total energy = -4.930 eV/atom

Lattice parameters (Å, degrees): 13.3263 13.3263 12.5165 90.00 90.00 120.00
Space group R-3 (No. 148, hexagonal axes)
Symmetry-distinct sites (fractional):
Sm1 0.0318 0.8328 0.3943 (multiplicity 18)
Sm2 0.0656 0.8706 0.8810 (multiplicity 18)
Ni1 0.0000 0.0000 0.0000 (multiplicity 3)
Sn1 0.0472 0.7632 0.6417 (multiplicity 18)



No. 2
# Sm2Ni16Sn

A geometry-optimized Sm2Ni16Sn structure (PBE, the Alexandria database).

ΔH_f (0 K) = -0.202 eV per atom
D(E_F) = 74.24 states/eV per cell
DFT total energy = -5.778 eV/atom

Lattice parameters (Å, degrees): 8.4045 8.4045 12.2979 90.00 90.00 120.00
Space group R3m (No. 160, hexagonal axes)
Symmetry-distinct sites (fractional):
Sm1 0.0000 0.0000 0.0000 (multiplicity 3)
Sm2 0.0000 0.0000 0.3088 (multiplicity 3)
Ni1 0.0000 0.0000 0.5402 (multiplicity 3)
Ni2 0.0000 0.3013 0.6499 (multiplicity 18)
Ni3 0.0037 0.5019 0.1514 (multiplicity 9)
Ni4 0.1673 0.3345 0.1409 (multiplicity 9)
Ni5 0.1680 0.3360 0.8288 (multiplicity 9)
Sn1 0.0000 0.0000 0.7400 (multiplicity 3)



No. 3
# SmNiSn

A geometry-optimized SmNiSn structure (PBE, the Alexandria database).

ΔH_f (0 K) = -0.649 eV per atom
D(E_F) = 8.99 states/eV per cell
DFT total energy = -5.483 eV/atom

Lattice parameters (Å, degrees): 7.353 4.543 7.700 90.00 90.00 90.00
Space group Pnma (No. 62)
Symmetry-distinct sites (fractional):
Sm1 0.017 0.250 0.198 (multiplicity 4)
Ni1 0.197 0.750 0.415 (multiplicity 4)
Sn1 0.185 0.250 0.587 (multiplicity 4)



No. 4
# Sm3Ni6Sn4

A geometry-optimized Sm3Ni6Sn4 structure (PBE, the Alexandria database).

ΔH_f (0 K) = -0.391 eV per atom
D(E_F) = 23.33 states/eV per cell
DFT total energy = -5.380 eV/atom

Lattice parameters (Å, degrees): 8.9282 8.9282 7.4623 90.00 90.00 120.00
Space group P6_3mc (No. 186)
Symmetry-distinct sites (fractional):
Sm1 0.0460 0.5230 0.0000 (multiplicity 6)
Ni1 0.0936 0.1872 0.0155 (multiplicity 6)
Ni2 0.1658 0.3316 0.3381 (multiplicity 6)
Sn1 0.1614 0.3228 0.7054 (multiplicity 6)
Sn2 0.3333 0.6667 0.3059 (multiplicity 2)



Number 1: spin magnetization 0.00 μB/atom. Number 2: spin magnetization 0.21 μB/atom. Number 3: spin magnetization 0.00 μB/atom. Number 4: spin magnetization 0.00 μB/atom.